# 1
Crystalline LaZn2PdRu at its relaxed geometry, computed with PBE.

abc: 4.8279 4.8279 5.0821
angles: 90.00 90.00 90.00
Closest atoms and distances in Å follow each position.
Element x y z (fractional)
La (0.0000, 0.0000, 0.0000)  2 Ru 2.54
Zn (0.0000, 0.5000, 0.5000)  2 Ru 2.41
Zn (0.5000, 0.0000, 0.5000)  2 Ru 2.41
Pd (0.5000, 0.5000, 0.0000)  4 La 3.41, 8 Zn 3.50
Ru (0.0000, 0.0000, 0.5000)  4 Zn 2.41, 2 La 2.54

## Properties
- electronic total energy (eV/atom) = -4.27
- space group = P4/mmm (123)

# 2
Crystalline La2PdS3 at its relaxed geometry, computed with PBE.

abc: 7.6139 7.6139 7.2794
angles: 115.44 115.44 56.90
Closest atoms and distances in Å follow each position.
Element x y z (fractional)
La (0.0539, 0.6594, 0.8477)  6 S 2.87-2.95
La (0.3406, 0.9461, 0.6523)  6 S 2.87-2.95
La (0.6594, 0.0539, 0.3477)  6 S 2.87-2.95
La (0.9461, 0.3406, 0.1523)  6 S 2.87-2.95
Pd (0.4971, 0.5029, 0.2500)  2 S 2.34
Pd (0.5029, 0.4971, 0.7500)  2 S 2.34
S (0.0289, 0.9711, 0.2500)  4 La 2.87
S (0.2972, 0.3028, 0.5450)  1 Pd 2.34
S (0.3028, 0.2972, 0.0450)  1 Pd 2.34
S (0.6972, 0.7028, 0.9550)  1 Pd 2.34
S (0.7028, 0.6972, 0.4550)  1 Pd 2.34
S (0.9711, 0.0289, 0.7500)  4 La 2.87

## Properties
- electronic total energy (eV/atom) = -6.36
- space group = C2/c (15)

# 3
Crystalline LaPdS2 at its relaxed geometry, computed with PBE.

abc: 4.8181 4.8181 4.8181
angles: 60.00 60.00 60.00
Closest atoms and distances in Å follow each position.
Element x y z (fractional)
La (0.0000, 0.0000, 0.0000)  8 S 2.95
Pd (0.5000, 0.5000, 0.5000)  8 S 2.95
S (0.2500, 0.2500, 0.2500)  4 Pd 2.95, 4 La 2.95
S (0.7500, 0.7500, 0.7500)  4 Pd 2.95, 4 La 2.95

## Properties
- space group = Fm-3m (225)
- offset from the most stable computed form (meV/atom) = 8

# 4
Crystalline LaPd4S2 at its relaxed geometry, computed with PBE.

abc: 7.7303 7.7303 4.0352
angles: 90.00 90.00 90.00
Closest atoms and distances in Å follow each position.
Element x y z (fractional)
La (0.0000, 0.0000, 0.0000)  6 S 3.07-3.13, 12 Pd 3.38-3.39
La (0.5000, 0.5000, 0.5000)  6 S 3.07-3.13, 12 Pd 3.38-3.39
Pd (0.0927, 0.3403, 0.5000)  3 S 2.53-2.59, 1 Pd 2.71
Pd (0.1597, 0.5927, 0.0000)  3 S 2.53-2.59, 1 Pd 2.71
Pd (0.3403, 0.0927, 0.5000)  3 S 2.53-2.59, 1 Pd 2.71
Pd (0.4073, 0.8403, 0.0000)  3 S 2.53-2.59, 1 Pd 2.71
Pd (0.5927, 0.1597, 0.0000)  3 S 2.53-2.59, 1 Pd 2.71
Pd (0.6597, 0.9073, 0.5000)  3 S 2.53-2.59, 1 Pd 2.71
Pd (0.8403, 0.4073, 0.0000)  3 S 2.53-2.59, 1 Pd 2.71
Pd (0.9073, 0.6597, 0.5000)  3 S 2.53-2.59, 1 Pd 2.71
S (0.2189, 0.7811, 0.5000)  6 Pd 2.53-2.59
S (0.2811, 0.2811, 0.0000)  6 Pd 2.53-2.59
S (0.7189, 0.7189, 0.0000)  6 Pd 2.53-2.59
S (0.7811, 0.2189, 0.5000)  6 Pd 2.53-2.59

## Properties
- electronic total energy (eV/atom) = -5.60
- space group = P4_2/mnm (136)

# 5
Crystalline LaPdS at its relaxed geometry, computed with PBE.

abc: 8.2631 7.4564 6.9188
angles: 70.06 58.02 51.92
Closest atoms and distances in Å follow each position.
Element x y z (fractional)
La (0.0457, 0.0457, 0.7043)  4 S 2.91-2.92, 2 Pd 3.06
La (0.2957, 0.2957, 0.9543)  4 S 2.91-2.92, 2 Pd 3.06
La (0.7043, 0.7043, 0.0457)  4 S 2.91-2.92, 2 Pd 3.06
La (0.9543, 0.9543, 0.2957)  4 S 2.91-2.92, 2 Pd 3.06
Pd (0.0000, 0.5000, 0.5000)  2 S 2.36
Pd (0.5000, 0.0000, 0.5000)  2 S 2.36
Pd (0.5000, 0.5000, 0.0000)  2 S 2.36
Pd (0.5000, 0.5000, 0.5000)  2 S 2.36
S (0.1137, 0.6363, 0.6363)  2 Pd 2.36
S (0.3637, 0.8863, 0.8863)  2 Pd 2.36
S (0.6363, 0.1137, 0.1137)  2 Pd 2.36
S (0.8863, 0.3637, 0.3637)  2 Pd 2.36

## Properties
- electronic total energy (eV/atom) = -5.84
- space group = Fddd (70)

# 6
Crystalline LaPdS2 at its relaxed geometry, computed with PBE.

abc: 7.6992 7.6992 7.6992
angles: 33.28 33.28 33.28
Closest atoms and distances in Å follow each position.
Element x y z (fractional)
La (0.0000, 0.0000, 0.0000)  6 S 2.88
Pd (0.5000, 0.5000, 0.5000)  2 S 2.28
S (0.3954, 0.3954, 0.3954)  1 Pd 2.28
S (0.6046, 0.6046, 0.6046)  1 Pd 2.28

## Properties
- space group = R-3m (166)
- offset from the most stable computed form (meV/atom) = 30